(1)
# Mg4CdRu, optimized geometry, DFT PBE
data_Mg4CdRu
_cell_length_a 5.4735
_cell_length_b 5.4735
_cell_length_c 5.4735
_cell_angle_alpha 60.00
_cell_angle_beta 60.00
_cell_angle_gamma 60.00
_space_group_name_H-M_alt 'P 1'
_space_group_IT_number 1
_space_group_name_Hall 'P 1'
loop_
_atom_site_label
_atom_site_type_symbol
_atom_site_fract_x
_atom_site_fract_y
_atom_site_fract_z
Mg1 Mg 0.1243 0.1243 0.1243
Mg2 Mg 0.1243 0.1243 0.6270
Mg3 Mg 0.1243 0.6270 0.1243
Mg4 Mg 0.6270 0.1243 0.1243
Cd1 Cd 0.5000 0.5000 0.5000
Ru1 Ru 0.7500 0.7500 0.7500
# - Electronic total energy: -14.6 eV per formula unit
# - Density of states at the Fermi level: 4.6 states/eV/cell
# - ΔE_f: 0.33 eV per atom



(2)
# Ac2ZnAg, optimized geometry, DFT PBE
data_Ac2ZnAg
_cell_length_a 5.5774
_cell_length_b 5.5774
_cell_length_c 5.5774
_cell_angle_alpha 60.00
_cell_angle_beta 60.00
_cell_angle_gamma 60.00
_space_group_name_H-M_alt 'P 1'
_space_group_IT_number 1
_space_group_name_Hall 'P 1'
loop_
_atom_site_label
_atom_site_type_symbol
_atom_site_fract_x
_atom_site_fract_y
_atom_site_fract_z
Ac1 Ac 0.2500 0.2500 0.2500
Ac2 Ac 0.7500 0.7500 0.7500
Zn1 Zn 0.0000 0.0000 0.0000
Ag1 Ag 0.5000 0.5000 0.5000
# - Electronic total energy: -13.3 eV per formula unit
# - E above lowest polymorph: 0.03 eV/f.u.
# - Density of states at the Fermi level: 3.3 states/eV/cell
# - ΔE_f: -0.25 eV per atom



(3)
# Dy2AlCo2, optimized geometry, DFT PBE
data_Dy2AlCo2
_cell_length_a 5.3910
_cell_length_b 5.3910
_cell_length_c 5.3910
_cell_angle_alpha 136.14
_cell_angle_beta 119.15
_cell_angle_gamma 77.99
_space_group_name_H-M_alt 'P 1'
_space_group_IT_number 1
_space_group_name_Hall 'P 1'
loop_
_atom_site_label
_atom_site_type_symbol
_atom_site_fract_x
_atom_site_fract_y
_atom_site_fract_z
Dy1 Dy 0.2041 0.2041 0.0000
Dy2 Dy 0.7959 0.7959 0.0000
Al1 Al 0.5000 0.0000 0.5000
Co1 Co 0.2211 0.5000 0.7211
Co2 Co 0.7789 0.5000 0.2789
# - Electronic total energy: -29.1 eV per formula unit
# - Density of states at the Fermi level: 4.2 states/eV/cell
# - ΔE_f: -0.39 eV per atom